[1]
## AcMoPt (GGA-PBE)

Data for a geometry-optimized AcMoPt structure.

The value obtained for the energy of formation is 364 meV/atom. The value obtained for the uncorrected energy is -19.9 eV/f.u.

The space group is F-43m (No. 216) and the conventional cell measures 6.9176, 6.9176 and 6.9176 Å, with angles of 90.00, 90.00 and 90.00 degrees. Symmetry generates all atoms from Ac at (0.0000, 0.0000, 0.0000), Mo at (0.0000, 0.0000, 0.5000) and Pt at (0.2500, 0.2500, 0.2500).

***

[2]
## AcMo6S8 (GGA-PBE)

Data for a geometry-optimized AcMo6S8 structure.

The value obtained for the uncorrected energy is -116.5 eV/f.u.

The space group is R-3 (No. 148, hexagonal axes) and the conventional cell measures 9.2436, 9.2436 and 11.7132 Å, with angles of 90.00, 90.00 and 120.00 degrees. Symmetry generates all atoms from Ac at (0.0000, 0.0000, 0.0000), Mo at (0.0154, 0.1746, 0.4046), S at (0.0000, 0.0000, 0.2481) and S at (0.0063, 0.3766, 0.2503).

***

[3]
## AcSmMo (GGA-PBE)

Data for a geometry-optimized AcSmMo structure.

The value obtained for the energy of formation is 1270 meV/atom. The value obtained for the uncorrected energy is -15.9 eV/f.u.

The space group is F-43m (No. 216) and the conventional cell measures 7.2300, 7.2300 and 7.2300 Å, with angles of 90.00, 90.00 and 90.00 degrees. Symmetry generates all atoms from Ac at (0.0000, 0.0000, 0.0000), Sm at (0.2500, 0.2500, 0.2500) and Mo at (0.0000, 0.0000, 0.5000).